Compound: GaPdAu2
Source: Alexandria via LeMat-Bulk
Functional: PBE
Structure: relaxed

a = 3.140 Å, b = 7.704 Å, c = 5.807 Å
α = 90.00°, β = 105.60°, γ = 90.00°
Element x y z (fractional)
Ga  0.235  0.250  0.466
Ga  0.765  0.750  0.534
Pd  0.449  0.750  0.898
Pd  0.551  0.250  0.102
Au  0.121  0.556  0.247
Au  0.121  0.944  0.247
Au  0.879  0.056  0.753
Au  0.879  0.444  0.753

Output
Electronic total energy ... -3.94 eV/atom
Calculated formation energy ... -243 meV/atom
Space group ... P2_1/m, No. 11